#a
Material: ScCrRe2
Method: DFT, GGA-PBE
State: relaxed

Unit cell a=3.105 b=4.469 c=8.765 alpha=90.00 beta=90.00 gamma=90.00
Space group Cmmm (No. 65)
One atom of each set of equivalent atoms:
Sc 0.000 0.000 0.000 [2 per cell]
Cr 0.000 0.000 0.500 [2 per cell]
Re 0.000 0.500 0.271 [4 per cell]

#b
Material: ScCrRe2
Method: DFT, GGA-PBE
State: relaxed

Unit cell a=3.084 b=3.084 c=6.485 alpha=90.00 beta=90.00 gamma=90.00
Space group P4mm (No. 99)
One atom of each set of equivalent atoms:
Sc 0.000 0.000 0.000 [1 per cell]
Cr 0.500 0.500 0.266 [1 per cell]
Re 0.000 0.000 0.481 [1 per cell]
Re 0.500 0.500 0.720 [1 per cell]

Most stable structure - #b; separation to the second - 0.052 eV/atom.

#a
Material: ScCrRe2
Method: DFT, GGA-PBE
State: relaxed

Unit cell a=7.146 b=7.146 c=5.246 alpha=90.00 beta=90.00 gamma=90.00
Space group I-42d (No. 122)
One atom of each set of equivalent atoms:
Sc 0.000 0.000 0.000 [4 per cell]
Cr 0.000 0.000 0.500 [4 per cell]
Re 0.201 0.250 0.625 [8 per cell]

#b
Material: ScCrRe2
Method: DFT, GGA-PBE
State: relaxed

Unit cell a=5.396 b=8.744 c=2.735 alpha=90.00 beta=110.66 gamma=90.00
Space group C2/m (No. 12)
One atom of each set of equivalent atoms:
Sc 0.000 0.000 0.000 [2 per cell]
Cr 0.000 0.500 0.000 [2 per cell]
Re 0.250 0.250 0.500 [4 per cell]

#c
Material: ScCrRe2
Method: DFT, GGA-PBE
State: relaxed

Unit cell a=2.795 b=4.272 c=5.244 alpha=90.00 beta=90.00 gamma=90.00
Space group Pmm2 (No. 25)
One atom of each set of equivalent atoms:
Sc 0.000 0.000 0.000 [1 per cell]
Cr 0.500 0.500 0.225 [1 per cell]
Re 0.000 0.000 0.498 [1 per cell]
Re 0.500 0.500 0.707 [1 per cell]

#d
Material: ScCrRe2
Method: DFT, GGA-PBE
State: relaxed

Unit cell a=3.061 b=3.061 c=6.521 alpha=90.00 beta=90.00 gamma=90.00
Space group P4/mmm (No. 123)
One atom of each set of equivalent atoms:
Sc 0.000 0.000 0.000 [1 per cell]
Cr 0.000 0.000 0.500 [1 per cell]
Re 0.500 0.500 0.282 [2 per cell]

Most stable structure - #d; separation to the second - 0.069 eV/atom.

#a
Material: CrReSe2
Method: DFT, GGA-PBE
State: relaxed

Unit cell a=3.070 b=4.409 c=9.800 alpha=90.00 beta=90.00 gamma=90.00
Space group Imm2 (No. 44)
One atom of each set of equivalent atoms:
Cr 0.000 0.000 0.000 [2 per cell]
Re 0.000 0.500 0.792 [2 per cell]
Se 0.000 0.000 0.497 [2 per cell]
Se 0.000 0.500 0.282 [2 per cell]

#b
Material: CrReSe2
Method: DFT, GGA-PBE
State: relaxed

Unit cell a=3.0231 b=3.0231 c=24.4769 alpha=90.00 beta=90.00 gamma=120.00
Space group R-3m (No. 166, hexagonal axes)
One atom of each set of equivalent atoms:
Cr 0.0000 0.0000 0.0000 [3 per cell]
Re 0.0000 0.0000 0.5000 [3 per cell]
Se 0.0000 0.0000 0.4014 [6 per cell]

Most stable structure - #b; separation to the second - 0.133 eV/atom.